(1)
SrCd2Si2 | PBE-GGA | relaxed

Cell lengths 7.7597, 7.7597, 4.0737 Å; angles 90.00, 90.00, 90.00 degrees
Closest atoms and distances in Å follow each position.
Atoms (fractional coordinates):
Si  0.6088  0.1088  0.0000  1 Si 2.39
Si  0.8912  0.6088  0.0000  1 Si 2.39
Sr  0.0000  0.0000  0.0000  4 Si 3.15
Cd  0.1645  0.6645  0.5000  6 Si 2.97-3.22
Cd  0.3355  0.1645  0.5000  6 Si 2.97-3.22
Sr  0.5000  0.5000  0.0000  4 Si 3.15
Si  0.1088  0.3912  0.0000  1 Si 2.39
Cd  0.8355  0.3355  0.5000  6 Si 2.97-3.22
Si  0.3912  0.8912  0.0000  1 Si 2.39
Cd  0.6645  0.8355  0.5000  6 Si 2.97-3.22

- Space-group type: P4/mbm, No. 127
- D(E_F): 1.86 states/eV/f.u.
- Raw formation energy: 99.3 meV per atom
- Magnetization: 0.00 μB/atom
- V: 123 Å³/f.u.
- Theoretical density: 5.0 g/cm3

***

(2)
SrCdSi2 | PBE-GGA | relaxed

Cell lengths 5.2636, 5.2636, 5.2636 Å; angles 126.71, 106.41, 96.87 degrees
Closest atoms and distances in Å follow each position.
Atoms (fractional coordinates):
Si  0.4228  0.4228  0.0000  1 Si 2.41, 2 Cd 2.65
Si  0.0772  0.0772  0.0000  1 Si 2.41, 2 Cd 2.65
Cd  0.2500  0.7500  0.5000  4 Si 2.65
Sr  0.7500  0.2500  0.5000  8 Si 3.29-3.38, 2 Cd 3.49

- Space-group type: Immm, No. 71
- D(E_F): 1.42 states/eV/f.u.
- Raw formation energy: 23.4 meV per atom
- Magnetization: 0.00 μB/atom
- V: 104 Å³/f.u.
- Theoretical density: 4.1 g/cm3

***

(3)
SrCd2Si | PBE-GGA | relaxed

Cell lengths 5.4527, 6.6399, 3.2261 Å; angles 76.38, 88.96, 113.97 degrees
Closest atoms and distances in Å follow each position.
Atoms (fractional coordinates):
Si  0.0000  0.5000  0.5000  4 Sr 3.14-3.19, 2 Si 3.23, 4 Cd 3.33
Cd  0.0000  0.0000  0.0000  6 Cd 3.14-3.23, 2 Si 3.33, 2 Sr 3.33
Cd  0.5000  0.0000  0.5000  6 Cd 3.14-3.23, 2 Sr 3.33, 2 Si 3.33
Sr  0.5000  0.5000  0.0000  4 Si 3.14-3.19, 2 Sr 3.23, 4 Cd 3.33

- Space-group type: C2/m, No. 12
- D(E_F): 1.58 states/eV/f.u.
- Raw formation energy: 89.0 meV per atom
- Magnetization: 0.00 μB/atom
- V: 103 Å³/f.u.
- Theoretical density: 5.5 g/cm3

***

(4)
SrCd2Si | PBE-GGA | relaxed

Cell lengths 5.8184, 5.8184, 5.8184 Å; angles 133.76, 133.76, 67.47 degrees
Closest atoms and distances in Å follow each position.
Atoms (fractional coordinates):
Sr  0.7500  0.2500  0.5000  4 Si 3.23, 8 Cd 3.33
Cd  0.5000  0.5000  0.0000  4 Cd 3.23, 4 Sr 3.33, 4 Si 3.33
Si  0.2500  0.7500  0.5000  4 Sr 3.23, 8 Cd 3.33
Cd  0.0000  0.0000  0.0000  4 Cd 3.23, 4 Si 3.33, 4 Sr 3.33

- Space-group type: I4/mmm, No. 139
- D(E_F): 1.79 states/eV/f.u.
- Raw formation energy: -40.2 meV per atom
- Magnetization: 0.00 μB/atom
- V: 101 Å³/f.u.
- Theoretical density: 5.6 g/cm3

***

(5)
SrCdSi2 | PBE-GGA | relaxed

Cell lengths 3.8792, 4.3127, 6.1974 Å; angles 69.81, 90.00, 90.00 degrees
Closest atoms and distances in Å follow each position.
Atoms (fractional coordinates):
Cd  0.5000  0.7605  0.8529  6 Si 2.99-3.07
Si  0.5000  0.0731  0.2289  2 Si 2.43
Sr  0.0000  0.4673  0.4412  7 Si 3.12-3.46
Si  0.0000  0.1990  0.9770  2 Si 2.43

- Space-group type: Pm, No. 6
- D(E_F): 1.17 states/eV/f.u.
- Raw formation energy: -91.1 meV per atom
- Magnetization: 0.00 μB/atom
- V: 97 Å³/f.u.
- Theoretical density: 4.4 g/cm3

***

(6)
SrCdSi2 | PBE-GGA | relaxed

Cell lengths 5.1021, 5.1021, 5.1021 Å; angles 60.00, 60.00, 60.00 degrees
Closest atoms and distances in Å follow each position.
Atoms (fractional coordinates):
Sr  0.2500  0.2500  0.2500  4 Cd 3.12, 4 Si 3.12
Cd  0.5000  0.5000  0.5000  4 Sr 3.12, 4 Si 3.12
Si  0.0000  0.0000  0.0000  4 Sr 3.12, 4 Si 3.12
Si  0.7500  0.7500  0.7500  4 Cd 3.12, 4 Si 3.12

- Space-group type: F-43m, No. 216
- D(E_F): 1.95 states/eV/f.u.
- Raw formation energy: 246.3 meV per atom
- Magnetization: 0.00 μB/atom
- V: 94 Å³/f.u.
- Theoretical density: 4.5 g/cm3

***

(7)
SrCdSi2 | PBE-GGA | relaxed

Cell lengths 4.3623, 4.5427, 4.5427 Å; angles 90.00, 90.00, 90.00 degrees
Closest atoms and distances in Å follow each position.
Atoms (fractional coordinates):
Cd  0.5000  0.0000  0.5000  8 Si 3.15, 4 Sr 3.21
Si  0.0000  0.5000  0.5000  4 Cd 3.15, 4 Sr 3.15, 4 Si 3.21
Si  0.0000  0.0000  0.0000  4 Cd 3.15, 4 Sr 3.15, 4 Si 3.21
Sr  0.5000  0.5000  0.0000  8 Si 3.15, 4 Cd 3.21

- Space-group type: P4/mmm, No. 123
- D(E_F): 1.04 states/eV/f.u.
- Raw formation energy: 98.5 meV per atom
- Magnetization: 0.00 μB/atom
- V: 90 Å³/f.u.
- Theoretical density: 4.7 g/cm3

***

(8)
SrCdSi2 | PBE-GGA | relaxed

Cell lengths 4.8176, 4.8176, 6.2784 Å; angles 71.16, 71.16, 46.99 degrees
Closest atoms and distances in Å follow each position.
Atoms (fractional coordinates):
Cd  0.2804  0.2804  0.1622  5 Si 2.75-3.07
Si  0.7047  0.7047  0.8320  2 Si 2.42
Sr  0.4795  0.4795  0.5194  3 Si 3.18-3.25, 3 Cd 3.30-3.40
Si  0.0354  0.0354  0.9865  2 Si 2.42

- Space-group type: Cm, No. 8
- D(E_F): 1.67 states/eV/f.u.
- Raw formation energy: -29.8 meV per atom
- Magnetization: 0.00 μB/atom
- V: 100 Å³/f.u.
- Theoretical density: 4.3 g/cm3

***

(9)
SrCd2Si | PBE-GGA | relaxed

Cell lengths 5.2030, 5.2030, 5.2030 Å; angles 120.04, 120.04, 89.92 degrees
Closest atoms and distances in Å follow each position.
Atoms (fractional coordinates):
Cd  0.2500  0.7500  0.5000  4 Cd 3.19, 4 Si 3.19
Si  0.5000  0.5000  0.0000  4 Cd 3.19, 4 Sr 3.19
Sr  0.7500  0.2500  0.5000  4 Cd 3.19, 4 Si 3.19
Cd  0.0000  0.0000  0.0000  4 Sr 3.19, 4 Cd 3.19

- Space-group type: F-43m, No. 216
- D(E_F): 1.20 states/eV/f.u.
- Raw formation energy: -49.1 meV per atom
- Magnetization: 0.00 μB/atom
- V: 100 Å³/f.u.
- Theoretical density: 5.7 g/cm3

***

(10)
SrCd2Si | PBE-GGA | relaxed

Cell lengths 4.5934, 4.5934, 6.4587 Å; angles 69.27, 69.27, 59.99 degrees
Closest atoms and distances in Å follow each position.
Atoms (fractional coordinates):
Sr  0.7593  0.7593  0.7222  3 Si 3.30, 6 Cd 3.36-3.58
Cd  0.2285  0.2285  0.3145  3 Si 2.69, 3 Cd 3.00-3.01
Cd  0.9753  0.9753  0.0741  3 Cd 3.00-3.01, 3 Si 3.24, 1 Sr 3.36
Si  0.5370  0.5370  0.3892  3 Cd 2.69

- Space-group type: Cm, No. 8
- D(E_F): 1.43 states/eV/f.u.
- Raw formation energy: -146.4 meV per atom
- Magnetization: 0.00 μB/atom
- V: 108 Å³/f.u.
- Theoretical density: 5.3 g/cm3

***

(11)
SrCd2Si | PBE-GGA | relaxed

Cell lengths 6.6505, 6.6505, 6.6505 Å; angles 39.92, 39.92, 39.92 degrees
Closest atoms and distances in Å follow each position.
Atoms (fractional coordinates):
Cd  0.9679  0.9679  0.9679  3 Si 2.78
Sr  0.7500  0.7500  0.7500  6 Cd 3.37
Si  0.2500  0.2500  0.2500  6 Cd 2.78
Cd  0.5321  0.5321  0.5321  3 Si 2.78

- Space-group type: R-3m, No. 166
- D(E_F): 1.28 states/eV/f.u.
- Raw formation energy: -67.5 meV per atom
- Magnetization: 0.00 μB/atom
- V: 109 Å³/f.u.
- Theoretical density: 5.2 g/cm3

***

(12)
SrCdSi2 | PBE-GGA | relaxed

Cell lengths 8.7855, 8.7855, 8.7855 Å; angles 24.42, 24.42, 24.42 degrees
Closest atoms and distances in Å follow each position.
Atoms (fractional coordinates):
Si  0.4882  0.4882  0.4882  3 Cd 2.82
Sr  0.2500  0.2500  0.2500  6 Si 3.24
Si  0.0118  0.0118  0.0118  3 Cd 2.82
Cd  0.7500  0.7500  0.7500  6 Si 2.82

- Space-group type: R-3m, No. 166
- D(E_F): 1.95 states/eV/f.u.
- Raw formation energy: 392.5 meV per atom
- Magnetization: 0.00 μB/atom
- V: 102 Å³/f.u.
- Theoretical density: 4.2 g/cm3

***

What is the formula in the eighth record?
SrCdSi2